# Zr2CdReO (PBE, optimized geometry)
data_Zr2CdReO
_chemical_formula_sum 'Zr2 Cd1 Re1 O1'
_cell_length_a 4.493
_cell_length_b 4.168
_cell_length_c 4.493
_cell_angle_alpha 90.00
_cell_angle_beta 90.00
_cell_angle_gamma 90.00
_symmetry_space_group_name_H-M 'P 1'
_symmetry_Int_Tables_number 1
loop_
_symmetry_equiv_pos_as_xyz
'x,y,z'
loop_
_atom_site_label
_atom_site_type_symbol
_atom_site_fract_x
_atom_site_fract_y
_atom_site_fract_z
Re1 Re 0.000 0.500 0.000
O1 O 0.000 0.000 0.000
Zr1 Zr 0.500 0.000 0.000
Zr2 Zr 0.000 0.000 0.500
Cd1 Cd 0.500 0.500 0.500
# Size of the total moment ... 0.0 μB/f.u.
# Crystal system ... tetragonal
# Formation energy without anion corrections ... -3.131 eV per formula unit
# Density ... 9810 kg/m3
# Raw total energy ... -38.549 eV for the cell shown
# Space-group type ... P4/mmm (123)